No. 1
VASP calculation (PBE-GGA) on crystalline LuTl2Sn at its relaxed geometry.

DFT formation energy   119 meV/atom
Size of the total moment   0.00 μB/f.u.
Energy above the lowest structure with this stoichiometry   326 meV per atom
Theoretical density   9.577 Mg/m³

Structure (POSCAR):
```
LuTl2Sn
1.0
-2.349 1.220 -2.307
-0.778 -1.870 -2.868
-9.390 -5.499 3.984
Tl Lu Sn
2 1 1
Cartesian
-7.148 -4.080 2.450
-5.370 -2.069 -3.641
0.000 0.000 0.000
-6.259 -3.074 -0.595
```

***

No. 2
VASP calculation (PBE-GGA) on crystalline LuTl2Sn at its relaxed geometry.

DFT formation energy   -207 meV/atom
Size of the total moment   0.00 μB/f.u.
Energy above the lowest structure with this stoichiometry   0 meV per atom
Theoretical density   10.963 Mg/m³

Structure (POSCAR):
```
LuTl2Sn
1.0
-3.239 -0.777 -3.705
3.152 -2.546 -2.221
-1.547 -3.788 2.147
Lu Tl Sn
1 2 1
Cartesian
-0.817 -3.556 -1.890
-0.773 -1.894 1.073
1.576 -1.273 -1.111
-1.620 -0.389 -1.853
```

***

No. 3
VASP calculation (PBE-GGA) on crystalline LuTlSn2 at its relaxed geometry.

DFT formation energy   -275 meV/atom
Size of the total moment   0.00 μB/f.u.
Theoretical density   9.825 Mg/m³

Structure (POSCAR):
```
LuTlSn2
1.0
4.811 0.000 0.000
0.000 4.655 0.000
0.000 0.000 4.655
Lu Tl Sn
1 1 2
Cartesian
2.406 2.327 2.327
2.406 0.000 0.000
0.000 0.000 2.327
0.000 2.327 0.000
```

***

No. 4
VASP calculation (PBE-GGA) on crystalline TmLuTlSn at its relaxed geometry.

DFT formation energy   -379 meV/atom
Size of the total moment   0.00 μB/f.u.
Theoretical density   10.563 Mg/m³

Structure (POSCAR):
```
TmLuTlSn
1.0
5.293 0.000 0.000
2.647 4.584 0.000
2.647 1.528 4.322
Lu Tm Sn Tl
1 1 1 1
Cartesian
0.000 0.000 0.000
5.293 3.056 2.161
2.647 1.528 1.080
7.940 4.584 3.241
```

***

No. 5
VASP calculation (PBE-GGA) on crystalline YLuTlSn at its relaxed geometry.

DFT formation energy   -415 meV/atom
Size of the total moment   0.00 μB/f.u.
Theoretical density   9.134 Mg/m³

Structure (POSCAR):
```
YLuTlSn
1.0
-0.566 -4.253 -3.152
-0.090 -4.886 2.112
-4.537 -2.784 0.075
Y Tl Lu Sn
1 1 1 1
Cartesian
-3.895 -8.943 -0.724
-2.597 -5.962 -0.483
-1.298 -2.981 -0.241
0.000 0.000 0.000
```

***

No. 6
VASP calculation (PBE-GGA) on crystalline Tm2LuSn at its relaxed geometry.

DFT formation energy   -299 meV/atom
Size of the total moment   0.00 μB/f.u.
Energy above the lowest structure with this stoichiometry   83 meV per atom
Theoretical density   9.338 Mg/m³

Structure (POSCAR):
```
Tm2LuSn
1.0
-1.185 -2.785 -1.822
2.187 -2.109 1.802
-6.389 -1.333 6.194
Tm Lu Sn
2 1 1
Cartesian
-1.485 -0.310 1.440
-4.905 -1.023 4.755
-2.694 -3.114 3.087
0.501 -2.447 -0.010
```